No. 1
Computed, not measured: TbErTm6 after structural relaxation at the GGA-PBE level of DFT.

The structure in POSCAR format:
```
TbErTm6
1.0
6.458 -0.840 -1.354
-3.182 5.682 -1.354
-1.713 -2.531 8.665
Tb Er Tm
1 1 6
Cartesian
0.781 1.155 2.978
0.000 0.000 0.000
-0.463 -0.685 5.822
3.282 -0.092 0.993
2.026 2.995 0.135
2.870 -0.702 4.964
-1.720 2.402 4.964
-1.307 3.012 0.993
```

Summary:
The calculation puts the distance to the lowest polymorph of the same formula at 0.0119 eV/atom. For the energy of formation from the pure elements, the calculation gives 0.228 eV/atom. The calculated volume comes out at 247 Å³/cell.

***

No. 2
Computed, not measured: Tb7Er2Tm after structural relaxation at the GGA-PBE level of DFT.

The structure in POSCAR format:
```
Tb7Er2Tm
1.0
5.275 0.000 0.000
0.000 9.445 -0.716
0.000 -4.900 8.106
Tb Er Tm
7 2 1
Cartesian
0.000 6.575 1.049
0.000 -2.030 6.341
2.638 -0.763 2.288
2.638 5.308 5.102
2.638 2.386 0.352
2.638 2.159 7.038
2.638 2.272 3.695
2.638 5.180 1.907
2.638 -0.635 5.483
0.000 0.000 0.000
```

Summary:
The calculation puts the distance to the lowest polymorph of the same formula at 0.6691 eV/atom. For the energy of formation from the pure elements, the calculation gives 0.688 eV/atom. The calculated volume comes out at 385 Å³/cell.

***

No. 3
Computed, not measured: Tb3Er4Tm8 after structural relaxation at the GGA-PBE level of DFT.

The structure in POSCAR format:
```
Tb3Er4Tm8
1.0
-4.306 -5.292 0.340
2.264 -6.122 2.015
-3.140 -1.097 11.771
Tb Er Tm
3 4 8
Cartesian
-3.723 -3.195 6.056
-1.570 -0.549 5.886
-0.438 -3.610 6.893
0.000 0.000 0.000
-3.799 -4.927 12.456
-2.592 -6.255 7.063
-1.384 -7.584 1.670
-1.331 -3.089 3.689
-0.157 -6.186 4.541
-2.318 -8.841 4.711
-3.454 -5.769 3.700
-3.852 -9.422 10.438
-5.026 -6.325 9.586
-2.865 -3.670 9.415
-1.729 -6.742 10.427
```

Summary:
The calculation puts the distance to the lowest polymorph of the same formula at 0.0000 eV/atom. For the energy of formation from the pure elements, the calculation gives 0.152 eV/atom. The calculated volume comes out at 468 Å³/cell.

***

No. 4
Computed, not measured: Tb9Er4Tm11 after structural relaxation at the GGA-PBE level of DFT.

The structure in POSCAR format:
```
Tb9Er4Tm11
1.0
3.631 0.000 0.000
0.000 13.722 -5.841
0.000 0.021 14.914
Tb Er Tm
9 4 11
Cartesian
1.815 8.664 -1.248
1.815 5.079 10.320
1.815 2.257 8.457
1.815 11.486 0.615
1.815 10.806 9.302
1.815 2.938 -0.229
1.815 12.800 6.281
1.815 0.944 2.792
1.815 6.872 4.536
1.815 7.618 8.036
1.815 6.126 1.037
1.815 10.383 3.847
1.815 3.360 5.225
0.000 8.162 10.778
0.000 5.582 -1.706
0.000 13.119 3.270
0.000 0.625 5.803
0.000 8.695 1.774
0.000 5.049 7.298
0.000 11.533 -2.525
0.000 2.210 11.597
0.000 0.000 0.000
0.000 9.737 6.427
0.000 4.007 2.645
```

Summary:
For the energy of formation from the pure elements, the calculation gives 0.047 eV/atom. The calculated volume comes out at 743 Å³/cell.

***

No. 5
Computed, not measured: Tb2Er7Tm3 after structural relaxation at the GGA-PBE level of DFT.

The structure in POSCAR format:
```
Tb2Er7Tm3
1.0
5.412 0.000 0.000
0.000 6.107 -0.084
0.000 -0.133 11.895
Tb Er Tm
2 7 3
Cartesian
2.706 3.639 3.266
2.706 2.336 8.546
2.706 1.372 5.388
2.706 4.602 6.424
0.000 2.646 2.075
0.000 0.000 0.000
0.000 3.328 9.737
2.706 5.474 9.824
2.706 0.501 1.988
2.706 3.053 -0.042
0.000 5.746 3.967
0.000 0.228 7.844
```

Summary:
The calculation puts the distance to the lowest polymorph of the same formula at 0.1666 eV/atom. For the energy of formation from the pure elements, the calculation gives 0.326 eV/atom. The calculated volume comes out at 393 Å³/cell.

***

No. 6
Computed, not measured: Tb6Er2Tm3 after structural relaxation at the GGA-PBE level of DFT.

The structure in POSCAR format:
```
Tb6Er2Tm3
1.0
-0.292 2.507 3.946
-1.625 -3.762 2.270
16.373 -3.688 0.774
Tb Er Tm
6 2 3
Cartesian
2.918 -2.925 2.074
3.584 0.209 2.912
11.538 -2.018 4.916
10.872 -5.152 4.077
5.133 -2.333 4.642
9.323 -2.610 2.348
14.002 -3.920 3.526
0.453 -1.023 3.463
0.000 0.000 0.000
8.322 -3.225 5.445
6.134 -1.717 1.545
```

Summary:
For the energy of formation from the pure elements, the calculation gives 0.300 eV/atom. The calculated volume comes out at 361 Å³/cell.

***

No. 7
Computed, not measured: Tb5Er6Tm after structural relaxation at the GGA-PBE level of DFT.

The structure in POSCAR format:
```
Tb5Er6Tm
1.0
11.576 -1.341 0.000
1.742 5.844 0.000
0.871 2.922 5.276
Tb Er Tm
5 6 1
Cartesian
6.659 2.252 3.518
0.871 2.922 1.758
6.659 2.252 0.000
1.742 5.844 3.518
7.531 5.174 1.757
9.123 0.450 1.757
4.196 4.053 1.757
3.325 1.127 0.000
9.994 3.377 0.000
9.994 3.372 3.519
5.067 6.975 3.519
0.000 0.000 0.000
```

Summary:
The calculation puts the distance to the lowest polymorph of the same formula at 0.0000 eV/atom. For the energy of formation from the pure elements, the calculation gives 0.019 eV/atom. The calculated volume comes out at 369 Å³/cell.

***

No. 8
Computed, not measured: Tb4ErTm8 after structural relaxation at the GGA-PBE level of DFT.

The structure in POSCAR format:
```
Tb4ErTm8
1.0
7.122 0.525 -1.004
-4.104 5.946 -0.001
4.546 3.139 8.161
Tb Er Tm
4 1 8
Cartesian
4.546 3.140 8.160
9.616 6.638 7.156
6.055 6.375 7.658
-0.543 6.209 -0.503
7.342 5.069 3.076
1.868 5.678 1.980
5.696 3.932 5.176
3.795 2.619 2.440
2.525 3.693 5.618
3.769 6.992 4.716
0.243 6.999 5.618
7.320 2.612 1.539
5.038 5.917 1.538
```

Summary:
For the energy of formation from the pure elements, the calculation gives 0.232 eV/atom. The calculated volume comes out at 403 Å³/cell.

***

No. 9
Computed, not measured: TbErTm6 after structural relaxation at the GGA-PBE level of DFT.

The structure in POSCAR format:
```
TbErTm6
1.0
6.225 -0.208 2.346
-0.097 6.416 0.801
1.046 0.739 6.685
Tb Er Tm
1 1 6
Cartesian
-0.049 3.208 0.400
0.000 0.000 0.000
1.008 5.273 4.031
4.046 4.957 5.400
3.128 1.991 4.432
6.166 1.674 5.800
4.399 5.441 8.572
2.774 1.506 1.259
```

Summary:
The calculation puts the distance to the lowest polymorph of the same formula at 0.0000 eV/atom. For the energy of formation from the pure elements, the calculation gives 0.216 eV/atom. The calculated volume comes out at 247 Å³/cell.

***

No. 10
Computed, not measured: Tb8Er2Tm after structural relaxation at the GGA-PBE level of DFT.

The structure in POSCAR format:
```
Tb8Er2Tm
1.0
-0.982 5.806 9.523
-6.034 -9.188 -10.805
-0.523 -11.722 -10.016
Tb Er Tm
8 2 1
Cartesian
-6.165 -8.383 -7.363
-4.064 -5.858 -6.051
-5.445 -12.578 -9.995
-2.094 -2.526 -1.303
-3.475 -9.246 -5.246
-1.374 -6.721 -3.935
-3.339 -10.051 -8.689
-4.200 -5.053 -2.608
-5.312 -13.387 -13.430
-2.227 -1.717 2.133
0.000 0.000 0.000
```

Summary:
The calculation puts the distance to the lowest polymorph of the same formula at 0.0000 eV/atom. For the energy of formation from the pure elements, the calculation gives 0.018 eV/atom. The calculated volume comes out at 344 Å³/cell.

***

No. 11
Computed, not measured: TbEr8Tm3 after structural relaxation at the GGA-PBE level of DFT.

The structure in POSCAR format:
```
TbEr8Tm3
1.0
-2.088 -3.223 -6.527
2.388 -6.718 2.553
-7.038 3.614 4.860
Tb Er Tm
1 8 3
Cartesian
0.000 0.000 0.000
-2.694 -4.439 -3.529
-1.653 -2.833 -0.276
-5.235 1.462 3.143
-6.276 -0.145 -0.111
-0.463 -6.182 0.997
-1.504 -7.788 -2.257
-5.085 -3.494 1.162
-4.045 -1.887 4.415
-2.250 -4.037 2.713
0.150 -4.970 -1.987
-4.488 -2.289 -1.827
```

Summary:
For the energy of formation from the pure elements, the calculation gives 0.724 eV/atom. The calculated volume comes out at 435 Å³/cell.

***

No. 12
Computed, not measured: Tb4Er15Tm after structural relaxation at the GGA-PBE level of DFT.

The structure in POSCAR format:
```
Tb4Er15Tm
1.0
4.961 0.000 0.000
0.000 4.961 0.000
0.000 0.000 24.796
Tb Er Tm
4 15 1
Cartesian
0.000 0.000 4.947
0.000 0.000 9.913
0.000 0.000 14.883
0.000 0.000 19.849
2.481 2.481 0.000
2.481 2.481 4.941
2.481 2.481 9.915
2.481 2.481 14.881
2.481 2.481 19.854
2.481 0.000 2.461
2.481 0.000 7.428
2.481 0.000 12.398
2.481 0.000 17.368
2.481 0.000 22.335
0.000 2.481 2.461
0.000 2.481 7.428
0.000 2.481 12.398
0.000 2.481 17.368
0.000 2.481 22.335
0.000 0.000 0.000
```

Summary:
For the energy of formation from the pure elements, the calculation gives 0.022 eV/atom. The calculated volume comes out at 610 Å³/cell.